Ac2Nd7Y PBE-GGA optimized geometry; ΔE to the lowest computed polymorph = 278 meV/atom; calculated formation energy = 0.42 eV per atom; crystal system = orthorhombic; space group = Cmmm (65)
1.0
3.6422 0.0000 0.0000
0.0000 10.3428 -2.8957
0.0000 -0.7504 10.7142
Ac Nd Y
2 7 1
Direct
0.5000 0.8249 0.1751 Ac
0.5000 0.1751 0.8249 Ac
0.0000 0.6630 0.3370 Nd
0.0000 0.3370 0.6630 Nd
0.5000 0.1429 0.3745 Nd
0.5000 0.8571 0.6255 Nd
0.5000 0.3745 0.1429 Nd
0.5000 0.6255 0.8571 Nd
0.5000 0.5000 0.5000 Nd
0.0000 0.0000 0.0000 Y

---

VNi4Ir PBE-GGA optimized geometry; ΔE to the lowest computed polymorph = 0 meV/atom; calculated formation energy = -0.18 eV per atom; crystal system = monoclinic; space group = C2/m (12)
1.0
4.3751 0.1023 0.6740
1.1135 3.7577 2.1478
0.0843 0.1125 4.4092
V Ni Ir
1 4 1
Direct
0.5000 0.5000 0.0000 V
0.0000 0.3329 0.3341 Ni
0.5000 0.1675 0.6651 Ni
0.0000 0.6671 0.6659 Ni
0.5000 0.8325 0.3349 Ni
0.0000 0.0000 0.0000 Ir

---

CaAl3Fe PBE-GGA optimized geometry; ΔE to the lowest computed polymorph = 38 meV/atom; calculated formation energy = -0.21 eV per atom; crystal system = orthorhombic; space group = Cmcm (63)
1.0
-1.9839 -1.1520 4.6281
-5.5053 1.2602 -2.0463
2.0926 -6.2414 -0.6566
Ca Al Fe
2 6 2
Direct
0.2500 0.3951 0.7902 Ca
0.7500 0.6049 0.2098 Ca
0.2500 0.8210 0.6419 Al
0.7500 0.1790 0.3581 Al
0.2500 0.3634 0.2720 Al
0.7500 0.6366 0.7280 Al
0.2500 0.9086 0.2720 Al
0.7500 0.0914 0.7280 Al
0.0000 0.0000 0.0000 Fe
0.5000 0.0000 0.0000 Fe

---

E, record by record: -43.8, -42.2, -22.7 eV/f.u.